A plane-wave DFT calculation with PBEsol was carried out for a relaxed ReTcO2F crystal.

Energy   -36.19 eV for the cell shown
Total magnetic moment   4.58 Bohr magnetons per cell
V   62.8 Å³/f.u.
Uncorrected formation energy   0.166 eV/atom

a = 3.814 Å, b = 3.814 Å, c = 4.317 Å
α = 90.00°, β = 90.00°, γ = 90.00°
Each line ends with the local moment (μB).
Fractional coordinates of all 5 atoms:
Re 0.500 0.500 0.500  3.86
Tc 0.000 0.000 0.000  -0.14
O 0.000 0.500 0.000  0.06
O 0.500 0.000 0.000  0.06
F 0.000 0.000 0.500  0.07